{"formula": "Zn2FeCu", "functional": "PBE", "state": "optimized geometry", "cell": [[6.6992, 0.0000, 0.0000], [0.0000, 6.6992, 0.0000], [3.3496, 3.3496, 2.5487]], "species": ["Zn", "Fe", "Zn", "Cu", "Zn", "Fe", "Zn", "Cu"], "fractional_positions": [[0.3750, 0.3688, 0.7500], [0.5000, 0.5000, 0.0000], [0.8750, 0.8812, 0.7500], [0.0000, 0.0000, 0.0000], [0.1188, 0.6250, 0.2500], [0.2500, 0.7500, 0.5000], [0.6312, 0.1250, 0.2500], [0.7500, 0.2500, 0.5000]], "formation_enthalpy_0k_ev_per_atom": 0.3488}

{"formula": "TeOs3Pt", "functional": "PBE", "state": "optimized geometry", "cell": [[4.7826, 0.0000, 0.0000], [0.0000, 4.7826, 0.0000], [0.0000, 0.0000, 4.7826]], "species": ["Os", "Te", "Os", "Os", "Pt"], "fractional_positions": [[0.0000, 0.0000, 0.5000], [0.5000, 0.5000, 0.5000], [0.5000, 0.0000, 0.0000], [0.0000, 0.5000, 0.0000], [0.0000, 0.0000, 0.0000]], "e_form_raw_mev_per_atom": 2442, "relative_energy_mev_per_atom": 0}

{"formula": "KNaOs2", "functional": "PBE", "state": "optimized geometry", "cell": [[-1.2055, -3.8052, -2.8138], [-4.2219, -2.3414, 0.7371], [-3.6225, 0.4161, -3.2487]], "species": ["Os", "Os", "Na", "K"], "fractional_positions": [[0.7500, 0.7500, 0.7500], [0.2500, 0.2500, 0.2500], [0.0000, 0.0000, 0.0000], [0.5000, 0.5000, 0.5000]], "formation_enthalpy_0k_ev_per_atom": 2.3854, "relative_energy_mev_per_atom": 769}

{"formula": "Zr2CdCo", "functional": "PBE", "state": "optimized geometry", "cell": [[-2.9073, -0.6395, -3.0456], [-1.3730, -2.4309, 1.8210], [-4.0302, 2.4840, 3.3256]], "species": ["Zr", "Zr", "Cd", "Co"], "fractional_positions": [[0.0000, 0.9738, 0.9276], [0.5000, 0.3037, 0.2661], [0.0000, 0.6940, 0.4860], [0.5000, 0.5286, 0.8202]], "formation_enthalpy_0k_ev_per_atom": -0.0304}

{"formula": "SmMgF4", "functional": "PBE", "state": "optimized geometry", "cell": [[1.9119, -7.8225, 0.0000], [1.9119, 7.8225, 0.0000], [0.0000, 0.0000, 5.7987]], "species": ["Mg", "Sm", "F", "F", "Mg", "Sm", "F", "F", "F", "F", "F", "F"], "fractional_positions": [[0.0795, 0.9205, 0.2500], [0.6784, 0.3216, 0.7500], [0.1927, 0.8073, 0.0104], [0.0000, 0.0000, 0.5000], [0.9205, 0.0795, 0.7500], [0.3216, 0.6784, 0.2500], [0.0000, 0.0000, 0.0000], [0.1927, 0.8073, 0.4896], [0.6106, 0.3894, 0.2500], [0.3894, 0.6106, 0.7500], [0.8073, 0.1927, 0.9896], [0.8073, 0.1927, 0.5104]], "e_form_raw_mev_per_atom": -3285}

{"formula": "CaTe2H", "functional": "PBE", "state": "optimized geometry", "cell": [[-4.5733, -3.2713, -4.4170], [5.3498, -1.3302, -4.5538], [1.0533, -5.5781, -2.7468]], "species": ["Te", "Ca", "H", "Te", "H", "Ca", "Te", "Te"], "fractional_positions": [[0.3750, 0.4755, 0.7500], [0.0000, 0.0000, 0.0000], [0.2500, 0.7500, 0.5000], [0.2255, 0.6250, 0.2500], [0.5000, 0.5000, 0.0000], [0.7500, 0.2500, 0.5000], [0.8750, 0.7745, 0.7500], [0.5245, 0.1250, 0.2500]], "relative_energy_mev_per_atom": 167}

{"formula": "Nb3VH8", "functional": "PBE", "state": "optimized geometry", "cell": [[-2.2747, -3.7324, -0.9859], [3.3625, -2.4777, 1.6221], [-2.4382, 3.1886, 3.7362]], "species": ["H", "H", "H", "H", "H", "H", "Nb", "Nb", "Nb", "V", "H", "H"], "fractional_positions": [[0.1206, 0.6409, 0.7615], [0.3591, 0.8794, 0.2385], [0.1206, 0.1206, 0.7615], [0.8794, 0.3591, 0.2385], [0.8794, 0.8794, 0.2385], [0.6409, 0.6409, 0.7615], [0.2500, 0.7500, 0.5000], [0.7500, 0.2500, 0.5000], [0.5000, 0.5000, 0.0000], [0.0000, 0.0000, 0.0000], [0.6409, 0.1206, 0.7615], [0.3591, 0.3591, 0.2385]]}

{"formula": "Pm5Ho5Tm2", "functional": "PBE", "state": "optimized geometry", "cell": [[-3.5829, -3.2708, 1.3659], [-2.3232, -4.0409, -6.4720], [5.1131, -9.4277, 0.1350]], "species": ["Ho", "Pm", "Tm", "Pm", "Ho", "Ho", "Tm", "Pm", "Pm", "Ho", "Pm", "Ho"], "fractional_positions": [[0.8326, 0.8339, 0.5009], [0.5837, 0.0832, 0.7494], [0.0835, 0.5821, 0.2510], [0.6660, 0.6675, 0.0006], [0.7485, 0.2507, 0.2523], [0.1674, 0.1661, 0.4991], [0.9165, 0.4179, 0.7490], [0.4163, 0.9168, 0.2506], [0.5000, 0.5000, 0.5000], [0.2515, 0.7493, 0.7477], [0.3340, 0.3325, 0.9994], [0.0000, 0.0000, 0.0000]], "formation_enthalpy_0k_ev_per_atom": 0.0190}

{"formula": "Th2Zn3Hg2", "functional": "PBE", "state": "optimized geometry", "cell": [[-2.2827, 0.3573, 4.0101], [-3.5269, -1.1735, -4.5738], [2.8970, -5.7332, 2.1599]], "species": ["Th", "Zn", "Zn", "Th", "Hg", "Zn", "Hg"], "fractional_positions": [[0.1498, 0.2996, 0.7646], [0.4168, 0.8337, 0.5881], [0.5000, 0.0000, 0.0000], [0.8502, 0.7004, 0.2354], [0.1553, 0.3105, 0.2551], [0.5832, 0.1663, 0.4119], [0.8447, 0.6895, 0.7449]], "formation_enthalpy_0k_ev_per_atom": -0.2351}

{"formula": "LiCuSb2S4", "functional": "PBE", "state": "optimized geometry", "cell": [[6.1730, 0.0000, 0.0000], [0.0000, 8.8028, 0.0000], [0.0000, 0.0000, 7.6725]], "species": ["S", "Li", "Sb", "Cu", "S", "S", "S", "Sb", "S", "Sb", "Li", "Sb", "S", "S", "Cu", "S"], "fractional_positions": [[0.8801, 0.2689, 0.7561], [0.9869, 0.1307, 0.5000], [0.4964, 0.3025, 0.7411], [0.4972, 0.8572, 0.5000], [0.8801, 0.2689, 0.2439], [0.3801, 0.7311, 0.7439], [0.3801, 0.7311, 0.2561], [0.4964, 0.3025, 0.2589], [0.8921, 0.8906, 0.0000], [0.9964, 0.6975, 0.2411], [0.4869, 0.8693, 0.0000], [0.9964, 0.6975, 0.7589], [0.3921, 0.1094, 0.5000], [0.3708, 0.1392, 0.0000], [0.9972, 0.1428, 0.0000], [0.8708, 0.8608, 0.5000]], "e_form_raw_mev_per_atom": -399}

{"formula": "K2NaOsO4", "functional": "PBE", "state": "optimized geometry", "cell": [[5.7148, 0.0590, 0.0904], [-2.3817, 5.1952, -0.0904], [-2.3817, -2.1734, 4.7195]], "species": ["O", "O", "K", "K", "O", "Os", "Na", "O"], "fractional_positions": [[0.4047, 0.7934, 0.7069], [0.5953, 0.3023, 0.3887], [0.0000, 0.0000, 0.0000], [0.5000, 0.7500, 0.2500], [0.9136, 0.6113, 0.2066], [0.0000, 0.5000, 0.5000], [0.5000, 0.2500, 0.7500], [0.0864, 0.2931, 0.6977]], "e_form_raw_mev_per_atom": -1338}

{"formula": "SiNi2W", "functional": "PBE", "state": "optimized geometry", "cell": [[-2.3600, 0.5865, 1.4287], [1.3344, -0.5378, 2.4260], [1.7151, 5.9737, 0.3808]], "species": ["Si", "Ni", "Ni", "W"], "fractional_positions": [[0.0000, 0.0000, 0.4616], [0.5000, 0.5000, 0.2749], [0.0000, 0.0000, 0.0117], [0.5000, 0.5000, 0.7519]], "e_form_raw_mev_per_atom": -168}

In the order shown, the computed M_tot values come out to 2.315; 0.000; 3.734; 0.000; 0.892; 0.000; 0.005; 0.000; 0.000; 0.000; 1.011; 0.000 μB/f.u..
In the order shown, the computed uncorrected energy values come out to -3.428; -6.132; -3.834; -6.310; -5.585; -3.231; -5.755; -4.613; -2.987; -4.245; -5.660; -7.653 eV/atom.